# CsBe2CS | the Alexandria database | PBE | relaxed
data_CsBe2CS
_chemical_formula_sum 'Cs1 Be2 C1 S1'
_symmetry_space_group_name_H-M 'P 4/m m m'
_symmetry_Int_Tables_number 123
_symmetry_space_group_name_Hall '-P 4 2'
_cell_length_a 4.021
_cell_length_b 4.021
_cell_length_c 6.722
_cell_angle_alpha 90.00
_cell_angle_beta 90.00
_cell_angle_gamma 90.00
loop_
_atom_site_label
_atom_site_fract_x
_atom_site_fract_y
_atom_site_fract_z
Cs1 0.000 0.000 0.000
Be1 0.000 0.500 0.500
C1 0.500 0.500 0.000
S1 0.000 0.000 0.500
# Size of the total moment (μB/atom): 0.00
# E_form (uncorrected) (eV per atom): 1.59